LiPuMnO4 PBE with a Hubbard U optimized geometry; space-group type = Imma (74); total magnetization = 8.00 μB per formula unit; energy = -8.5345 eV/atom
1.0
-0.797 -6.305 0.610
5.315 2.327 -2.419
-1.889 0.877 6.603
Pu Mn O Li
2 2 8 2
Direct
0.500 0.000 0.000
0.500 0.000 0.500
0.877 0.754 0.127
0.123 0.246 0.873
0.270 0.990 0.745
0.261 0.521 0.755
0.280 0.010 0.255
0.739 0.479 0.734
0.730 0.010 0.255
0.261 0.521 0.266
0.720 0.990 0.745
0.739 0.479 0.245
0.000 0.500 0.500
0.500 0.500 0.500